1.
A geometry-optimized ReNiAgB structure. Source: OQMD via LeMat-Bulk, functional PBE. Values from VASP.

Output
- Energy: -6.11 eV/atom

Quantum ESPRESSO input file:
```
&SYSTEM
  ibrav = 0, nat = 4, ntyp = 4
/
ATOMIC_SPECIES
B 10.81 B.upf
Ni 58.69 Ni.upf
Re 186.21 Re.upf
Ag 107.87 Ag.upf
CELL_PARAMETERS angstrom
0.000 2.904 2.904
2.904 0.000 2.904
2.904 2.904 0.000
ATOMIC_POSITIONS crystal
B 0.000 0.000 0.000
Ni 0.500 0.500 0.500
Re 0.250 0.250 0.250
Ag 0.750 0.750 0.750
```


2.
A geometry-optimized ScNiAgB structure. Source: OQMD via LeMat-Bulk, functional PBE. Values from VASP.

Output
- Energy relative to the lowest polymorph listed for this composition: 3.77 kJ per mole of atoms
- Energy: -5.11 eV/atom

Quantum ESPRESSO input file:
```
&SYSTEM
  ibrav = 0, nat = 4, ntyp = 4
/
ATOMIC_SPECIES
Sc 44.96 Sc.upf
B 10.81 B.upf
Ag 107.87 Ag.upf
Ni 58.69 Ni.upf
CELL_PARAMETERS angstrom
0.000 3.023 3.023
3.023 0.000 3.023
3.023 3.023 0.000
ATOMIC_POSITIONS crystal
Sc 0.250 0.250 0.250
B 0.000 0.000 0.000
Ag 0.500 0.500 0.500
Ni 0.750 0.750 0.750
```


3.
A geometry-optimized ScNiAgB structure. Source: OQMD via LeMat-Bulk, functional PBE. Values from VASP.

Output
- Energy relative to the lowest polymorph listed for this composition: 0.00 kJ per mole of atoms
- Energy: -5.15 eV/atom

Quantum ESPRESSO input file:
```
&SYSTEM
  ibrav = 0, nat = 4, ntyp = 4
/
ATOMIC_SPECIES
Ag 107.87 Ag.upf
Sc 44.96 Sc.upf
Ni 58.69 Ni.upf
B 10.81 B.upf
CELL_PARAMETERS angstrom
1.918 1.470 3.515
-1.510 -1.046 3.849
2.200 -2.663 2.502
ATOMIC_POSITIONS crystal
Ag 0.250 0.250 0.250
Sc 0.750 0.750 0.750
Ni 0.500 0.500 0.500
B 0.000 0.000 0.000
```


4.
A geometry-optimized TaNiAgB structure. Source: OQMD via LeMat-Bulk, functional PBE. Values from VASP.

Output
- Energy relative to the lowest polymorph listed for this composition: 20.70 kJ per mole of atoms
- Energy: -6.14 eV/atom

Quantum ESPRESSO input file:
```
&SYSTEM
  ibrav = 0, nat = 4, ntyp = 4
/
ATOMIC_SPECIES
Ag 107.87 Ag.upf
Ni 58.69 Ni.upf
B 10.81 B.upf
Ta 180.95 Ta.upf
CELL_PARAMETERS angstrom
0.000 2.982 2.982
2.982 0.000 2.982
2.982 2.982 0.000
ATOMIC_POSITIONS crystal
Ag 0.500 0.500 0.500
Ni 0.750 0.750 0.750
B 0.000 0.000 0.000
Ta 0.250 0.250 0.250
```


5.
A geometry-optimized TaNiAgB structure. Source: OQMD via LeMat-Bulk, functional PBE. Values from VASP.

Output
- Energy relative to the lowest polymorph listed for this composition: 0.00 kJ per mole of atoms
- Energy: -6.35 eV/atom

Quantum ESPRESSO input file:
```
&SYSTEM
  ibrav = 0, nat = 4, ntyp = 4
/
ATOMIC_SPECIES
Ni 58.69 Ni.upf
Ta 180.95 Ta.upf
Ag 107.87 Ag.upf
B 10.81 B.upf
CELL_PARAMETERS angstrom
-1.902 -3.688 -0.560
-4.091 -0.133 -0.884
-1.280 -1.136 -3.821
ATOMIC_POSITIONS crystal
Ni 0.500 0.500 0.500
Ta 0.250 0.250 0.250
Ag 0.750 0.750 0.750
B 0.000 0.000 0.000
```


6.
A geometry-optimized NiAgBW structure. Source: OQMD via LeMat-Bulk, functional PBE. Values from VASP.

Output
- Energy: -6.32 eV/atom

Quantum ESPRESSO input file:
```
&SYSTEM
  ibrav = 0, nat = 4, ntyp = 4
/
ATOMIC_SPECIES
B 10.81 B.upf
Ag 107.87 Ag.upf
W 183.84 W.upf
Ni 58.69 Ni.upf
CELL_PARAMETERS angstrom
0.000 2.921 2.921
2.921 0.000 2.921
2.921 2.921 0.000
ATOMIC_POSITIONS crystal
B 0.000 0.000 0.000
Ag 0.750 0.750 0.750
W 0.250 0.250 0.250
Ni 0.500 0.500 0.500
```


7.
A geometry-optimized YNiAgB structure. Source: OQMD via LeMat-Bulk, functional PBE. Values from VASP.

Output
- Energy: -5.10 eV/atom

Quantum ESPRESSO input file:
```
&SYSTEM
  ibrav = 0, nat = 4, ntyp = 4
/
ATOMIC_SPECIES
B 10.81 B.upf
Ag 107.87 Ag.upf
Y 88.91 Y.upf
Ni 58.69 Ni.upf
CELL_PARAMETERS angstrom
0.000 3.146 3.146
3.146 0.000 3.146
3.146 3.146 0.000
ATOMIC_POSITIONS crystal
B 0.000 0.000 0.000
Ag 0.750 0.750 0.750
Y 0.250 0.250 0.250
Ni 0.500 0.500 0.500
```


8.
A geometry-optimized ZrNiAgB structure. Source: OQMD via LeMat-Bulk, functional PBE. Values from VASP.

Output
- Energy: -5.73 eV/atom

Quantum ESPRESSO input file:
```
&SYSTEM
  ibrav = 0, nat = 4, ntyp = 4
/
ATOMIC_SPECIES
Ni 58.69 Ni.upf
B 10.81 B.upf
Ag 107.87 Ag.upf
Zr 91.22 Zr.upf
CELL_PARAMETERS angstrom
-4.151 0.197 1.132
-2.020 3.802 0.127
-2.993 0.948 -2.948
ATOMIC_POSITIONS crystal
Ni 0.500 0.500 0.500
B 0.000 0.000 0.000
Ag 0.750 0.750 0.750
Zr 0.250 0.250 0.250
```


Question: Among the records above, which one has the highest energy?
Answer: YNiAgB


Question: Among the records above, which one has the highest energy?
Answer: YNiAgB


Please write out number 5 again, unchanged.
A geometry-optimized TaNiAgB structure. Source: OQMD via LeMat-Bulk, functional PBE. Values from VASP.

Output
- Energy relative to the lowest polymorph listed for this composition: 0.00 kJ per mole of atoms
- Energy: -6.35 eV/atom

Quantum ESPRESSO input file:
```
&SYSTEM
  ibrav = 0, nat = 4, ntyp = 4
/
ATOMIC_SPECIES
Ni 58.69 Ni.upf
Ta 180.95 Ta.upf
Ag 107.87 Ag.upf
B 10.81 B.upf
CELL_PARAMETERS angstrom
-1.902 -3.688 -0.560
-4.091 -0.133 -0.884
-1.280 -1.136 -3.821
ATOMIC_POSITIONS crystal
Ni 0.500 0.500 0.500
Ta 0.250 0.250 0.250
Ag 0.750 0.750 0.750
B 0.000 0.000 0.000
```